Here is a relaxed VCrAs2 crystal from the Alexandria database. Energies are from PBE-GGA.

Magnetization   1.64 Bohr magnetons per cell
E_form   -0.05 eV/atom
Energy above the most stable polymorph in this dataset   291 meV per atom
Calculated total energy   -7.055 eV per atom

Cell and atoms, written as CIF:
```
data_VCrAs2
_chemical_formula_sum 'V1 Cr1 As2'
_space_group_name_H-M_alt 'P 1'
_space_group_IT_number 1
_space_group_name_Hall 'P 1'
_cell_length_a 4.3577
_cell_length_b 4.3577
_cell_length_c 4.3577
_cell_angle_alpha 60.00
_cell_angle_beta 60.00
_cell_angle_gamma 60.00
loop_
_atom_site_label
_atom_site_type_symbol
_atom_site_fract_x
_atom_site_fract_y
_atom_site_fract_z
_atom_site_occupancy
As1 As 0.2500 0.2500 0.2500 1
Cr1 Cr 0.5000 0.5000 0.5000 1
V1 V 0.0000 0.0000 0.0000 1
As2 As 0.7500 0.7500 0.7500 1
```